[1]
# KReH2N (PBE-GGA, relaxed)
data_KReH2N
_chemical_formula_sum 'K1 Re1 H2 N1'
_space_group_name_H-M_alt 'P 4/m m m'
_space_group_IT_number 123
_space_group_name_Hall '-P 4 2'
_cell_length_a 3.924
_cell_length_b 3.924
_cell_length_c 3.846
_cell_angle_alpha 90.00
_cell_angle_beta 90.00
_cell_angle_gamma 90.00
loop_
_atom_site_label
_atom_site_type_symbol
_atom_site_fract_x
_atom_site_fract_y
_atom_site_fract_z
K1 K 0.000 0.000 0.000
Re1 Re 0.500 0.500 0.500
H1 H 0.000 0.500 0.500
N1 N 0.500 0.500 0.000
# calculated volume	59.2	Å³ per cell
# distance to the lowest polymorph of the same formula	0.000	eV/atom

***

[2]
# KHRh2N (PBE-GGA, relaxed)
data_KHRh2N
_chemical_formula_sum 'K1 H1 Rh2 N1'
_space_group_name_H-M_alt 'P 4/m m m'
_space_group_IT_number 123
_space_group_name_Hall '-P 4 2'
_cell_length_a 4.797
_cell_length_b 4.797
_cell_length_c 3.335
_cell_angle_alpha 90.00
_cell_angle_beta 90.00
_cell_angle_gamma 90.00
loop_
_atom_site_label
_atom_site_type_symbol
_atom_site_fract_x
_atom_site_fract_y
_atom_site_fract_z
K1 K 0.000 0.000 0.000
H1 H 0.000 0.000 0.500
Rh1 Rh 0.000 0.500 0.000
N1 N 0.500 0.500 0.500
# calculated volume	76.7	Å³ per cell

***

[3]
# KHRu2N (PBE-GGA, relaxed)
data_KHRu2N
_chemical_formula_sum 'K1 H1 Ru2 N1'
_space_group_name_H-M_alt 'P 4/m m m'
_space_group_IT_number 123
_space_group_name_Hall '-P 4 2'
_cell_length_a 3.862
_cell_length_b 3.862
_cell_length_c 6.737
_cell_angle_alpha 90.00
_cell_angle_beta 90.00
_cell_angle_gamma 90.00
loop_
_atom_site_label
_atom_site_type_symbol
_atom_site_fract_x
_atom_site_fract_y
_atom_site_fract_z
K1 K 0.000 0.000 0.000
H1 H 0.500 0.500 0.000
Ru1 Ru 0.000 0.500 0.500
N1 N 0.500 0.500 0.500
# calculated volume	100.5	Å³ per cell

***

[4]
# KHSN2 (PBE-GGA, relaxed)
data_KHSN2
_chemical_formula_sum 'K1 H1 S1 N2'
_space_group_name_H-M_alt 'P 4/m m m'
_space_group_IT_number 123
_space_group_name_Hall '-P 4 2'
_cell_length_a 5.897
_cell_length_b 5.897
_cell_length_c 6.172
_cell_angle_alpha 90.00
_cell_angle_beta 90.00
_cell_angle_gamma 90.00
loop_
_atom_site_label
_atom_site_type_symbol
_atom_site_fract_x
_atom_site_fract_y
_atom_site_fract_z
K1 K 0.000 0.000 0.000
H1 H 0.500 0.500 0.500
S1 S 0.000 0.000 0.500
N1 N 0.000 0.500 0.000
# calculated volume	214.7	Å³ per cell
# distance to the lowest polymorph of the same formula	0.749	eV/atom

***

[5]
# KHS2N (PBE-GGA, relaxed)
data_KHS2N
_chemical_formula_sum 'K1 H1 S2 N1'
_space_group_name_H-M_alt 'P 4/m m m'
_space_group_IT_number 123
_space_group_name_Hall '-P 4 2'
_cell_length_a 6.293
_cell_length_b 6.293
_cell_length_c 6.178
_cell_angle_alpha 90.00
_cell_angle_beta 90.00
_cell_angle_gamma 90.00
loop_
_atom_site_label
_atom_site_type_symbol
_atom_site_fract_x
_atom_site_fract_y
_atom_site_fract_z
K1 K 0.000 0.000 0.000
H1 H 0.500 0.500 0.500
S1 S 0.000 0.500 0.000
N1 N 0.000 0.000 0.500
# calculated volume	244.7	Å³ per cell
# distance to the lowest polymorph of the same formula	0.983	eV/atom

***

[6]
# K3H6SN2 (PBE-GGA, relaxed)
data_K3H6SN2
_chemical_formula_sum 'K3 H6 S1 N2'
_space_group_name_H-M_alt 'P -3 m 1'
_space_group_IT_number 164
_space_group_name_Hall '-P 3 2"'
_cell_length_a 6.2806
_cell_length_b 6.2806
_cell_length_c 6.3477
_cell_angle_alpha 90.00
_cell_angle_beta 90.00
_cell_angle_gamma 120.00
loop_
_atom_site_label
_atom_site_type_symbol
_atom_site_fract_x
_atom_site_fract_y
_atom_site_fract_z
K1 K 0.0000 0.0000 0.0000
K2 K 0.3333 0.6667 0.6539
H1 H 0.2461 0.4922 0.1943
S1 S 0.0000 0.0000 0.5000
N1 N 0.3333 0.6667 0.1281
# calculated volume	216.8	Å³ per cell

***

[7]
# KHSN2 (PBE-GGA, relaxed)
data_KHSN2
_chemical_formula_sum 'K1 H1 S1 N2'
_space_group_name_H-M_alt 'P 4/m m m'
_space_group_IT_number 123
_space_group_name_Hall '-P 4 2'
_cell_length_a 4.839
_cell_length_b 4.839
_cell_length_c 3.309
_cell_angle_alpha 90.00
_cell_angle_beta 90.00
_cell_angle_gamma 90.00
loop_
_atom_site_label
_atom_site_type_symbol
_atom_site_fract_x
_atom_site_fract_y
_atom_site_fract_z
K1 K 0.000 0.000 0.000
H1 H 0.500 0.500 0.500
S1 S 0.500 0.500 0.000
N1 N 0.000 0.500 0.500
# calculated volume	77.5	Å³ per cell
# distance to the lowest polymorph of the same formula	0.000	eV/atom

***

[8]
# KH6S2N2 (PBE-GGA, relaxed)
data_KH6S2N2
_chemical_formula_sum 'K2 H12 S4 N4'
_space_group_name_H-M_alt 'C 1 2/m 1'
_space_group_IT_number 12
_space_group_name_Hall '-C 2y'
_cell_length_a 9.945
_cell_length_b 5.739
_cell_length_c 4.971
_cell_angle_alpha 90.00
_cell_angle_beta 90.11
_cell_angle_gamma 90.00
loop_
_atom_site_label
_atom_site_type_symbol
_atom_site_fract_x
_atom_site_fract_y
_atom_site_fract_z
K1 K 0.000 0.000 0.000
H1 H 0.065 0.500 0.737
H2 H 0.217 0.348 0.737
S1 S 0.167 0.500 0.226
N1 N 0.166 0.500 0.788
# calculated volume	283.7	Å³ per cell

***

[9]
# KH6SN2 (PBE-GGA, relaxed)
data_KH6SN2
_chemical_formula_sum 'K4 H24 S4 N8'
_space_group_name_H-M_alt 'C 1 2/c 1'
_space_group_IT_number 15
_space_group_name_Hall '-C 2yc'
_cell_length_a 6.336
_cell_length_b 19.567
_cell_length_c 5.045
_cell_angle_alpha 90.00
_cell_angle_beta 126.18
_cell_angle_gamma 90.00
loop_
_atom_site_label
_atom_site_type_symbol
_atom_site_fract_x
_atom_site_fract_y
_atom_site_fract_z
K1 K 0.000 0.075 0.250
H1 H 0.064 0.298 0.102
H2 H 0.141 0.376 0.060
H3 H 0.195 0.190 0.926
S1 S 0.000 0.484 0.750
N1 N 0.220 0.329 0.179
# calculated volume	504.8	Å³ per cell

***

[10]
# KHS2N (PBE-GGA, relaxed)
data_KHS2N
_chemical_formula_sum 'K1 H1 S2 N1'
_space_group_name_H-M_alt 'P 4/m m m'
_space_group_IT_number 123
_space_group_name_Hall '-P 4 2'
_cell_length_a 3.885
_cell_length_b 3.885
_cell_length_c 5.630
_cell_angle_alpha 90.00
_cell_angle_beta 90.00
_cell_angle_gamma 90.00
loop_
_atom_site_label
_atom_site_type_symbol
_atom_site_fract_x
_atom_site_fract_y
_atom_site_fract_z
K1 K 0.000 0.000 0.000
H1 H 0.500 0.500 0.500
S1 S 0.000 0.500 0.500
N1 N 0.500 0.500 0.000
# calculated volume	85.0	Å³ per cell
# distance to the lowest polymorph of the same formula	0.000	eV/atom

***

Number 1: E_tot -5.64 eV per atom. Number 2: E_tot -2.67 eV per atom. Number 3: E_tot -5.58 eV per atom. Number 4: E_tot -2.54 eV per atom. Number 5: E_tot -2.25 eV per atom. Number 6: E_tot -4.09 eV per atom. Number 7: E_tot -3.29 eV per atom. Number 8: E_tot -4.42 eV per atom. Number 9: E_tot -4.62 eV per atom. Number 10: E_tot -3.23 eV per atom.